(1)
Compound: PmYMnGa
Source: Alexandria
Functional: GGA-PBE
Structure: optimized geometry

Cell and atoms, written as POSCAR:
```
PmYMnGa
1.0
-1.258 3.659 3.350
-4.924 1.082 0.878
-2.137 -1.255 4.478
Pm Y Ga Mn
1 1 1 1
Direct
0.750 0.750 0.750 Pm
0.250 0.250 0.250 Y
0.000 0.000 0.000 Ga
0.500 0.500 0.500 Mn
```

Properties
Its space group is F-43m. The calculation puts the volume at 95 Å³/cell. The total energy is -5.996 eV/atom.

***

(2)
Compound: Pm2MnZnGa6
Source: Alexandria
Functional: GGA-PBE
Structure: optimized geometry

Cell and atoms, written as POSCAR:
```
Pm2MnZnGa6
1.0
-0.830 -3.510 -5.173
1.851 -6.029 -0.051
-9.983 -6.381 2.088
Ga Zn Pm Mn
12 2 4 2
Direct
0.334 0.334 0.404 Ga
0.225 0.225 0.901 Ga
0.225 0.649 0.901 Ga
0.334 0.928 0.404 Ga
0.666 0.666 0.596 Ga
0.775 0.351 0.099 Ga
0.649 0.225 0.901 Ga
0.351 0.775 0.099 Ga
0.775 0.775 0.099 Ga
0.072 0.666 0.596 Ga
0.928 0.334 0.404 Ga
0.666 0.072 0.596 Ga
0.427 0.427 0.720 Zn
0.573 0.573 0.280 Zn
0.892 0.892 0.324 Pm
0.108 0.108 0.676 Pm
0.717 0.717 0.848 Pm
0.283 0.283 0.152 Pm
0.000 0.000 0.000 Mn
0.500 0.500 0.500 Mn
```

Properties
Its space group is R-3m. The calculation puts the volume at 395 Å³/cell. The total energy is -4.167 eV/atom.

***

(3)
Compound: Pr4MnGa12
Source: Alexandria
Functional: GGA-PBE
Structure: optimized geometry

Cell and atoms, written as POSCAR:
```
Pr4MnGa12
1.0
7.212 0.000 -2.550
-3.606 6.246 -2.550
0.000 0.000 7.650
Ga Mn Pr
12 1 4
Direct
0.712 0.712 0.000 Ga
0.000 0.288 0.288 Ga
0.750 0.500 0.250 Ga
0.750 0.250 0.500 Ga
0.288 0.288 0.000 Ga
0.500 0.750 0.250 Ga
0.000 0.712 0.712 Ga
0.250 0.750 0.500 Ga
0.250 0.500 0.750 Ga
0.712 0.000 0.712 Ga
0.288 0.000 0.288 Ga
0.500 0.250 0.750 Ga
0.000 0.000 0.000 Mn
0.500 0.000 0.000 Pr
0.500 0.500 0.500 Pr
0.000 0.500 0.000 Pr
0.000 0.000 0.500 Pr
```

Properties
Its space group is Im-3m. The calculation puts the volume at 345 Å³/cell. The total energy is -4.330 eV/atom.

***

(4)
Compound: Pr2MnGa12
Source: Alexandria
Functional: GGA-PBE
Structure: optimized geometry

Cell and atoms, written as POSCAR:
```
Pr2MnGa12
1.0
6.078 0.000 0.000
0.000 6.078 0.000
0.000 0.000 15.843
Ga Pr Mn
24 4 2
Direct
0.250 0.250 0.089 Ga
0.500 0.500 0.347 Ga
0.500 0.500 0.190 Ga
0.250 0.750 0.911 Ga
0.331 0.169 0.568 Ga
0.000 0.000 0.190 Ga
0.169 0.669 0.568 Ga
0.750 0.250 0.089 Ga
0.169 0.331 0.432 Ga
0.000 0.000 0.810 Ga
0.250 0.250 0.911 Ga
0.331 0.831 0.432 Ga
0.831 0.669 0.432 Ga
0.669 0.831 0.568 Ga
0.500 0.500 0.810 Ga
0.669 0.169 0.432 Ga
0.500 0.500 0.653 Ga
0.750 0.250 0.911 Ga
0.750 0.750 0.089 Ga
0.831 0.331 0.568 Ga
0.000 0.000 0.347 Ga
0.750 0.750 0.911 Ga
0.250 0.750 0.089 Ga
0.000 0.000 0.653 Ga
0.000 0.500 0.247 Pr
0.500 0.000 0.247 Pr
0.500 0.000 0.753 Pr
0.000 0.500 0.753 Pr
0.500 0.000 0.000 Mn
0.000 0.500 0.000 Mn
```

Properties
Its space group is P4/nbm. The calculation puts the volume at 585 Å³/cell. The total energy is -4.001 eV/atom.

***

(5)
Compound: PrMnGa
Source: Alexandria
Functional: GGA-PBE
Structure: optimized geometry

Cell and atoms, written as POSCAR:
```
PrMnGa
1.0
-2.116 3.236 4.715
2.116 -3.236 4.715
2.116 3.236 -4.715
Ga Mn Pr
2 2 2
Direct
0.131 0.250 0.881 Ga
0.869 0.750 0.119 Ga
0.500 0.000 0.000 Mn
0.500 0.500 0.500 Mn
0.500 0.000 0.500 Pr
0.000 0.500 0.500 Pr
```

Properties
Its space group is Imma. The calculation puts the volume at 129 Å³/cell. The total energy is -5.718 eV/atom.

***

(6)
Compound: Pr2MnGa6
Source: Alexandria
Functional: GGA-PBE
Structure: optimized geometry

Cell and atoms, written as POSCAR:
```
Pr2MnGa6
1.0
5.471 0.000 3.159
1.824 5.158 3.159
0.000 0.000 6.317
Pr Ga Mn
2 6 1
Direct
0.750 0.750 0.750 Pr
0.250 0.250 0.250 Pr
0.281 0.719 0.719 Ga
0.281 0.719 0.281 Ga
0.719 0.719 0.281 Ga
0.281 0.281 0.719 Ga
0.719 0.281 0.719 Ga
0.719 0.281 0.281 Ga
0.000 0.000 0.000 Mn
```

Properties
Its space group is Fm-3m. The calculation puts the volume at 178 Å³/cell. The total energy is -4.644 eV/atom.

***

(7)
Compound: PrMnGa11
Source: Alexandria
Functional: GGA-PBE
Structure: optimized geometry

Cell and atoms, written as POSCAR:
```
PrMnGa11
1.0
4.828 0.046 2.011
2.379 7.523 0.991
0.054 0.023 6.671
Ga Pr Mn
11 1 1
Direct
0.000 0.500 0.000 Ga
0.272 0.234 0.220 Ga
0.383 0.635 0.652 Ga
0.508 0.766 0.220 Ga
0.617 0.365 0.348 Ga
0.000 0.000 0.500 Ga
0.965 0.365 0.652 Ga
0.500 0.000 0.500 Ga
0.728 0.766 0.780 Ga
0.035 0.635 0.348 Ga
0.492 0.234 0.780 Ga
0.000 0.000 0.000 Pr
0.500 0.500 0.000 Mn
```

Properties
Its space group is C2/m. The calculation puts the volume at 241 Å³/cell. The total energy is -3.768 eV/atom.

***

(8)
Compound: PrMnGa2Pt5
Source: Alexandria
Functional: GGA-PBE
Structure: optimized geometry

Cell and atoms, written as POSCAR:
```
PrMnGa2Pt5
1.0
4.048 0.000 0.000
0.000 4.048 0.000
0.000 0.000 11.144
Pt Mn Pr Ga
5 1 1 2
Direct
0.000 0.500 0.146 Pt
0.500 0.500 0.500 Pt
0.500 0.000 0.146 Pt
0.000 0.500 0.854 Pt
0.500 0.000 0.854 Pt
0.000 0.000 0.000 Mn
0.000 0.000 0.500 Pr
0.500 0.500 0.721 Ga
0.500 0.500 0.279 Ga
```

Properties
Its space group is P4/mmm. The calculation puts the volume at 183 Å³/cell. The total energy is -6.092 eV/atom.

***

(9)
Compound: Pr2MnGaPt6
Source: Alexandria
Functional: GGA-PBE
Structure: optimized geometry

Cell and atoms, written as POSCAR:
```
Pr2MnGaPt6
1.0
-3.347 -5.324 5.706
2.092 -4.406 -2.888
2.257 -6.128 5.428
Pt Pr Mn Ga
6 2 1 1
Direct
0.749 0.749 0.501 Pt
0.750 0.750 0.000 Pt
0.250 0.749 0.000 Pt
0.250 0.250 0.000 Pt
0.251 0.251 0.499 Pt
0.750 0.251 0.000 Pt
0.796 0.204 0.592 Pr
0.204 0.796 0.408 Pr
0.500 0.500 0.000 Mn
0.000 0.000 0.000 Ga
```

Properties
Its space group is R-3m. The calculation puts the volume at 218 Å³/cell. The total energy is -6.485 eV/atom.

***

(10)
Compound: Pr2MnGa3Pt4
Source: Alexandria
Functional: GGA-PBE
Structure: optimized geometry

Cell and atoms, written as POSCAR:
```
Pr2MnGa3Pt4
1.0
-2.623 -2.981 1.284
2.812 -2.912 -1.015
4.327 0.606 10.246
Pr Pt Mn Ga
2 4 1 3
Direct
0.000 0.500 0.750 Pr
0.500 0.000 0.250 Pr
0.500 0.500 0.000 Pt
0.500 0.000 0.641 Pt
0.000 0.000 0.000 Pt
0.000 0.500 0.359 Pt
0.500 0.500 0.500 Mn
0.000 0.500 0.132 Ga
0.000 0.000 0.500 Ga
0.500 0.000 0.868 Ga
```

Properties
Its space group is P-4m2. The calculation puts the volume at 194 Å³/cell. The total energy is -6.058 eV/atom.

***

(11)
Compound: Pr2MnGa4Pt3
Source: Alexandria
Functional: GGA-PBE
Structure: optimized geometry

Cell and atoms, written as POSCAR:
```
Pr2MnGa4Pt3
1.0
-1.118 3.587 -1.939
-3.642 -1.783 -1.199
-4.731 3.488 9.180
Pr Ga Pt Mn
2 4 3 1
Direct
0.000 0.500 0.751 Pr
0.500 0.000 0.249 Pr
0.500 0.500 0.000 Ga
0.000 0.000 0.000 Ga
0.500 0.000 0.634 Ga
0.000 0.500 0.366 Ga
0.000 0.000 0.500 Pt
0.000 0.500 0.133 Pt
0.500 0.000 0.867 Pt
0.500 0.500 0.500 Mn
```

Properties
Its space group is P-4m2. The calculation puts the volume at 195 Å³/cell. The total energy is -5.708 eV/atom.

***

(12)
Compound: Pr2MnGa3Rh4
Source: Alexandria
Functional: GGA-PBE
Structure: optimized geometry

Cell and atoms, written as POSCAR:
```
Pr2MnGa3Rh4
1.0
4.241 0.000 0.000
0.000 4.241 0.000
0.000 0.000 10.479
Ga Rh Pr Mn
3 4 2 1
Direct
0.000 0.500 0.124 Ga
0.000 0.000 0.500 Ga
0.500 0.000 0.876 Ga
0.500 0.500 0.000 Rh
0.500 0.000 0.637 Rh
0.000 0.500 0.363 Rh
0.000 0.000 0.000 Rh
0.000 0.500 0.758 Pr
0.500 0.000 0.242 Pr
0.500 0.500 0.500 Mn
```

Properties
Its space group is P-4m2. The calculation puts the volume at 188 Å³/cell. The total energy is -6.399 eV/atom.

***

(13)
Compound: Pr2MnGa2Rh5
Source: Alexandria
Functional: GGA-PBE
Structure: optimized geometry

Cell and atoms, written as POSCAR:
```
Pr2MnGa2Rh5
1.0
-2.785 -2.149 -0.236
5.210 -6.089 -6.053
3.282 -5.130 7.985
Pr Mn Rh Ga
4 2 10 4
Direct
0.000 0.825 0.675 Pr
0.000 0.175 0.325 Pr
0.000 0.675 0.175 Pr
0.000 0.325 0.825 Pr
0.000 0.500 0.500 Mn
0.000 0.000 0.000 Mn
0.500 0.000 0.500 Rh
0.500 0.436 0.296 Rh
0.500 0.796 0.936 Rh
0.500 0.564 0.704 Rh
0.500 0.500 0.000 Rh
0.500 0.704 0.436 Rh
0.500 0.204 0.064 Rh
0.500 0.064 0.796 Rh
0.500 0.936 0.204 Rh
0.500 0.296 0.564 Rh
0.000 0.876 0.376 Ga
0.000 0.376 0.124 Ga
0.000 0.624 0.876 Ga
0.000 0.124 0.624 Ga
```

Properties
Its space group is P4/mbm. The calculation puts the volume at 356 Å³/cell. The total energy is -6.713 eV/atom.

***

(14)
Compound: Pr3MnGaS7
Source: Alexandria
Functional: GGA-PBE
Structure: optimized geometry

Cell and atoms, written as POSCAR:
```
Pr3MnGaS7
1.0
-9.822 -0.758 2.113
3.986 -5.478 -7.457
1.221 -4.594 4.027
Pr S Ga Mn
6 14 2 2
Direct
0.772 0.623 0.762 Pr
0.851 0.228 0.762 Pr
0.377 0.149 0.762 Pr
0.623 0.851 0.262 Pr
0.149 0.772 0.262 Pr
0.228 0.377 0.262 Pr
0.425 0.905 0.991 S
0.520 0.425 0.491 S
0.237 0.096 0.191 S
0.141 0.237 0.691 S
0.095 0.520 0.991 S
0.667 0.333 0.976 S
0.859 0.763 0.191 S
0.096 0.859 0.691 S
0.333 0.667 0.476 S
0.480 0.575 0.991 S
0.763 0.904 0.691 S
0.904 0.141 0.191 S
0.575 0.095 0.491 S
0.905 0.480 0.491 S
0.667 0.333 0.340 Ga
0.333 0.667 0.840 Ga
0.000 0.000 0.966 Mn
0.000 0.000 0.466 Mn
```

Properties
Its space group is P6_3. The calculation puts the volume at 548 Å³/cell. The total energy is -6.162 eV/atom.

***

(15)
Compound: MnGa2Pt
Source: Alexandria
Functional: GGA-PBE
Structure: optimized geometry

Cell and atoms, written as POSCAR:
```
MnGa2Pt
1.0
-0.855 -4.092 0.109
2.587 -2.624 1.977
-1.719 -1.659 4.472
Pt Ga Mn
1 2 1
Direct
0.682 0.682 0.955 Pt
0.267 0.267 0.200 Ga
0.070 0.070 0.790 Ga
0.482 0.482 0.554 Mn
```

Properties
Its space group is R3m. The calculation puts the volume at 68 Å³/cell. The total energy is -5.632 eV/atom.

***

(16)
Compound: Mn2Ga2Pt
Source: Alexandria
Functional: GGA-PBE
Structure: optimized geometry

Cell and atoms, written as POSCAR:
```
Mn2Ga2Pt
1.0
-0.516 -6.891 1.997
5.060 -1.769 -4.797
1.978 0.413 1.934
Mn Ga Pt
4 4 2
Direct
0.623 0.123 0.000 Mn
0.377 0.877 0.000 Mn
0.123 0.377 0.000 Mn
0.877 0.623 0.000 Mn
0.823 0.323 0.500 Ga
0.323 0.177 0.500 Ga
0.177 0.677 0.500 Ga
0.677 0.823 0.500 Ga
0.000 0.000 0.000 Pt
0.500 0.500 0.000 Pt
```

Properties
Its space group is P4/mbm. The calculation puts the volume at 145 Å³/cell. The total energy is -6.125 eV/atom.

***

(17)
Compound: Mn3GaPt3
Source: Alexandria
Functional: GGA-PBE
Structure: optimized geometry

Cell and atoms, written as POSCAR:
```
Mn3GaPt3
1.0
-3.128 -0.277 -4.289
4.575 -2.646 -0.928
-2.513 -2.174 4.149
Mn Pt Ga
3 3 1
Direct
0.500 0.504 0.500 Mn
0.500 0.004 0.000 Mn
0.000 0.004 0.500 Mn
0.500 0.504 0.000 Pt
0.500 0.004 0.500 Pt
0.000 0.504 0.500 Pt
0.000 0.503 0.000 Ga
```

Properties
Its space group is R-3m. The calculation puts the volume at 116 Å³/cell. The total energy is -7.211 eV/atom.

***

(18)
Compound: MnGaPt3
Source: Alexandria
Functional: GGA-PBE
Structure: optimized geometry

Cell and atoms, written as POSCAR:
```
MnGaPt3
1.0
-1.782 -6.625 -0.192
6.720 0.770 -1.163
1.551 -0.664 8.517
Mn Ga Pt
4 4 12
Direct
0.401 0.401 0.250 Mn
0.001 0.001 0.750 Mn
0.599 0.599 0.750 Mn
0.999 0.999 0.250 Mn
0.500 0.000 0.500 Ga
0.000 0.500 0.000 Ga
0.500 0.000 0.000 Ga
0.000 0.500 0.500 Ga
0.377 0.623 0.000 Pt
0.843 0.583 0.250 Pt
0.583 0.843 0.250 Pt
0.377 0.623 0.500 Pt
0.819 0.819 0.509 Pt
0.181 0.181 0.491 Pt
0.623 0.377 0.500 Pt
0.819 0.819 0.991 Pt
0.157 0.417 0.750 Pt
0.181 0.181 0.009 Pt
0.623 0.377 0.000 Pt
0.417 0.157 0.750 Pt
```

Properties
Its space group is Cmcm. The calculation puts the volume at 382 Å³/cell. The total energy is -6.204 eV/atom.

***

(19)
Compound: MnGa2Pt2
Source: Alexandria
Functional: GGA-PBE
Structure: optimized geometry

Cell and atoms, written as POSCAR:
```
MnGa2Pt2
1.0
7.443 0.000 0.000
0.000 7.443 0.000
0.000 0.000 2.854
Ga Pt Mn
4 4 2
Direct
0.155 0.655 0.500 Ga
0.845 0.345 0.500 Ga
0.655 0.845 0.500 Ga
0.345 0.155 0.500 Ga
0.355 0.855 0.000 Pt
0.645 0.145 0.000 Pt
0.145 0.355 0.000 Pt
0.855 0.645 0.000 Pt
0.000 0.000 0.000 Mn
0.500 0.500 0.000 Mn
```

Properties
Its space group is P4/mbm. The calculation puts the volume at 158 Å³/cell. The total energy is -5.857 eV/atom.

***

(20)
Compound: Mn3GaPt12
Source: Alexandria
Functional: GGA-PBE
Structure: optimized geometry

Cell and atoms, written as POSCAR:
```
Mn3GaPt12
1.0
3.938 0.000 0.000
0.000 3.938 0.000
0.000 0.000 15.699
Pt Mn Ga
12 3 1
Direct
0.000 0.500 0.625 Pt
0.500 0.500 0.750 Pt
0.500 0.500 0.000 Pt
0.500 0.000 0.874 Pt
0.500 0.500 0.250 Pt
0.500 0.000 0.126 Pt
0.000 0.500 0.874 Pt
0.500 0.000 0.625 Pt
0.000 0.500 0.375 Pt
0.000 0.500 0.126 Pt
0.500 0.000 0.375 Pt
0.500 0.500 0.500 Pt
0.000 0.000 0.250 Mn
0.000 0.000 0.750 Mn
0.000 0.000 0.500 Mn
0.000 0.000 0.000 Ga
```

Properties
Its space group is P4/mmm. The calculation puts the volume at 243 Å³/cell. The total energy is -6.821 eV/atom.